# Pr2NdIn3Te6 (PBE, relaxed)
data_Pr2NdIn3Te6
_cell_length_a 7.8681
_cell_length_b 7.8681
_cell_length_c 8.5279
_cell_angle_alpha 98.85
_cell_angle_beta 98.85
_cell_angle_gamma 120.00
_symmetry_space_group_name_H-M 'P 1'
_symmetry_Int_Tables_number 1
_symmetry_space_group_name_Hall 'P 1'
loop_
_atom_site_label
_atom_site_type_symbol
_atom_site_fract_x
_atom_site_fract_y
_atom_site_fract_z
_atom_site_occupancy
Te1 Te 0.7446 0.7446 0.2285 1
Te2 Te 0.4077 0.0760 0.2281 1
Te3 Te 0.2554 0.2554 0.7715 1
Te4 Te 0.5923 0.9240 0.7719 1
Te5 Te 0.9240 0.5923 0.7719 1
Te6 Te 0.0760 0.4077 0.2281 1
In1 In 0.1670 0.8330 0.5000 1
In2 In 0.5000 0.5000 0.5000 1
In3 In 0.8330 0.1670 0.5000 1
Nd1 Nd 0.0000 0.0000 0.0000 1
Pr1 Pr 0.6666 0.3334 0.0000 1
Pr2 Pr 0.3334 0.6666 0.0000 1
# Electronic total energy in eV for the cell shown: -53.3
# ΔE_f (raw) in eV/f.u.: -11.9
# Space group: C2/m (12)

# PrNdThIn (PBE, relaxed)
data_PrNdThIn
_cell_length_a 5.5956
_cell_length_b 5.5956
_cell_length_c 5.5956
_cell_angle_alpha 60.00
_cell_angle_beta 60.00
_cell_angle_gamma 60.00
_symmetry_space_group_name_H-M 'P 1'
_symmetry_Int_Tables_number 1
_symmetry_space_group_name_Hall 'P 1'
loop_
_atom_site_label
_atom_site_type_symbol
_atom_site_fract_x
_atom_site_fract_y
_atom_site_fract_z
_atom_site_occupancy
In1 In 0.0000 0.0000 0.0000 1
Pr1 Pr 0.7500 0.7500 0.7500 1
Nd1 Nd 0.2500 0.2500 0.2500 1
Th1 Th 0.5000 0.5000 0.5000 1
# Formation enthalpy at 0 K in meV per atom: -44
# Electronic total energy in eV for the cell shown: -19.9
# Space group: F-43m (216)